(1)
Be2CoAu: optimized geometry, PBE-GGA.

Results
The space-group type is Cm, No. 8. The density of states at the Fermi level is 0.783 states/eV/atom. Its calculated total energy is -4.50 eV/atom. The size of the total moment is 0.09 μB per formula unit. For the formation enthalpy at 0 K, the calculation gives -0.041 eV/atom.

Cell lengths 4.433, 4.433, 4.001 Å; angles 106.26, 106.26, 36.21 degrees
Atoms (fractional coordinates):
Be (0.000, 0.000, 0.000)
Be (0.739, 0.739, 0.316)
Co (0.478, 0.478, 0.455)
Au (0.250, 0.250, 0.823)


(2)
InSiHg2: optimized geometry, PBE-GGA.

Results
The space-group type is R3m, No. 160. For the uncorrected formation energy, the calculation gives 0.274 eV/atom. The density of states at the Fermi level is 0.259 states/eV/atom. Its calculated total energy is -1.92 eV/atom. The size of the total moment is 0.00 μB per formula unit.

Cell lengths 8.478, 8.478, 8.478 Å; angles 24.79, 24.79, 24.79 degrees
Atoms (fractional coordinates):
In (0.000, 0.000, 0.000)
Si (0.745, 0.745, 0.745)
Hg (0.242, 0.242, 0.242)
Hg (0.485, 0.485, 0.485)


(3)
Sr2SbTe: optimized geometry, PBE-GGA.

Results
The space-group type is Fm-3m, No. 225. For the uncorrected formation energy, the calculation gives -1.075 eV/atom. The density of states at the Fermi level is 1.333 states/eV/atom. Its calculated total energy is -3.73 eV/atom. As for the energy relative to the lowest polymorph listed for this composition: 0.140 eV per atom. The size of the total moment is 0.00 μB per formula unit.

Cell lengths 5.769, 5.769, 5.769 Å; angles 60.00, 60.00, 60.00 degrees
Atoms (fractional coordinates):
Sr (0.250, 0.250, 0.250)
Sr (0.750, 0.750, 0.750)
Sb (0.000, 0.000, 0.000)
Te (0.500, 0.500, 0.500)